No. 1
Below is a relaxed structure of SrLiTl, with properties calculated at the GGA-PBE level.

* formation enthalpy at 0 K: -274.7 meV per atom
* V: 30.7 A^3/atom
* magnetic moment: 0.00 μB per cell

Structure (CIF):
```
data_SrLiTl
_chemical_formula_sum 'Sr1 Li1 Tl1'
_cell_length_a 5.0421
_cell_length_b 5.0421
_cell_length_c 4.1812
_cell_angle_alpha 90.00
_cell_angle_beta 90.00
_cell_angle_gamma 120.00
_space_group_name_H-M_alt 'P -6 m 2'
_space_group_IT_number 187
_space_group_name_Hall 'P -6 2'
loop_
_atom_site_label
_atom_site_fract_x
_atom_site_fract_y
_atom_site_fract_z
_atom_site_occupancy
Sr1 0.0000 0.0000 0.0000 1
Li1 0.6667 0.3333 0.5000 1
Tl1 0.3333 0.6667 0.5000 1
```

No. 2
Below is a relaxed structure of KIr4Os, with properties calculated at the GGA-PBE level.

* formation enthalpy at 0 K: 969.1 meV per atom
* V: 17.1 A^3/atom
* magnetic moment: 6.03 μB per cell

Structure (CIF):
```
data_KIr4Os
_chemical_formula_sum 'K4 Ir16 Os4'
_cell_length_a 7.427
_cell_length_b 7.427
_cell_length_c 7.427
_cell_angle_alpha 90.00
_cell_angle_beta 90.00
_cell_angle_gamma 90.00
_space_group_name_H-M_alt 'F -4 3 m'
_space_group_IT_number 216
_space_group_name_Hall 'F -4 2 3'
loop_
_atom_site_label
_atom_site_fract_x
_atom_site_fract_y
_atom_site_fract_z
_atom_site_occupancy
K1 0.000 0.000 0.000 1
Ir1 0.125 0.125 0.375 1
Os1 0.250 0.250 0.750 1
```

No. 3
Below is a relaxed structure of Y2Ga5Co2Ni, with properties calculated at the GGA-PBE level.

* formation enthalpy at 0 K: -380.5 meV per atom
* V: 16.5 A^3/atom
* magnetic moment: 0.00 μB per cell

Structure (CIF):
```
data_Y2Ga5Co2Ni
_chemical_formula_sum 'Y4 Ga10 Co4 Ni2'
_cell_length_a 9.333
_cell_length_b 9.333
_cell_length_c 3.794
_cell_angle_alpha 90.00
_cell_angle_beta 90.00
_cell_angle_gamma 90.00
_space_group_name_H-M_alt 'P 4/m b m'
_space_group_IT_number 127
_space_group_name_Hall '-P 4 2ab'
loop_
_atom_site_label
_atom_site_fract_x
_atom_site_fract_y
_atom_site_fract_z
_atom_site_occupancy
Y1 0.183 0.317 0.000 1
Ga1 0.000 0.500 0.500 1
Ga2 0.056 0.800 0.500 1
Co1 0.113 0.613 0.000 1
Ni1 0.000 0.000 0.000 1
```

No. 4
Below is a relaxed structure of Nb2AlV, with properties calculated at the GGA-PBE level.

* formation enthalpy at 0 K: -135.8 meV per atom
* V: 16.5 A^3/atom
* magnetic moment: 0.00 μB per cell

Structure (CIF):
```
data_Nb2AlV
_chemical_formula_sum 'Nb2 Al1 V1'
_cell_length_a 3.291
_cell_length_b 3.291
_cell_length_c 6.086
_cell_angle_alpha 90.00
_cell_angle_beta 90.00
_cell_angle_gamma 90.00
_space_group_name_H-M_alt 'P 4/m m m'
_space_group_IT_number 123
_space_group_name_Hall '-P 4 2'
loop_
_atom_site_label
_atom_site_fract_x
_atom_site_fract_y
_atom_site_fract_z
_atom_site_occupancy
Nb1 0.000 0.000 0.238 1
Al1 0.500 0.500 0.500 1
V1 0.500 0.500 0.000 1
```

No. 5
Below is a relaxed structure of Ba2YTe, with properties calculated at the GGA-PBE level.

* formation energy (no corrections): -2.0 eV per formula unit
* V: 47.7 A^3/atom
* magnetic moment: 6.87 μB per cell

Structure (CIF):
```
data_Ba2YTe
_chemical_formula_sum 'Ba6 Y3 Te3'
_cell_length_a 4.4788
_cell_length_b 4.4788
_cell_length_c 32.9184
_cell_angle_alpha 90.00
_cell_angle_beta 90.00
_cell_angle_gamma 120.00
_space_group_name_H-M_alt 'R -3 m'
_space_group_IT_number 166
_space_group_name_Hall '-R 3 2"'
loop_
_atom_site_label
_atom_site_fract_x
_atom_site_fract_y
_atom_site_fract_z
_atom_site_occupancy
Ba1 0.0000 0.0000 0.2346 1
Y1 0.0000 0.0000 0.0000 1
Te1 0.0000 0.0000 0.5000 1
```

No. 6
Below is a relaxed structure of CsKICl, with properties calculated at the GGA-PBE level.

* formation energy (no corrections): -6.5 eV per formula unit
* V: 40.4 A^3/atom
* magnetic moment: 0.00 μB per cell

Structure (CIF):
```
data_CsKICl
_chemical_formula_sum 'Cs4 K4 I4 Cl4'
_cell_length_a 8.650
_cell_length_b 8.650
_cell_length_c 8.650
_cell_angle_alpha 90.00
_cell_angle_beta 90.00
_cell_angle_gamma 90.00
_space_group_name_H-M_alt 'F -4 3 m'
_space_group_IT_number 216
_space_group_name_Hall 'F -4 2 3'
loop_
_atom_site_label
_atom_site_fract_x
_atom_site_fract_y
_atom_site_fract_z
_atom_site_occupancy
Cs1 0.000 0.000 0.000 1
K1 0.000 0.000 0.500 1
I1 0.250 0.250 0.250 1
Cl1 0.250 0.250 0.750 1
```